This record from Alexandria describes In2TeMoO8 after structural relaxation. The functional is PBE+U.

Cell lengths 4.863, 4.860, 6.477 Å; angles 90.00, 90.00, 92.09 degrees
Positions (direct):
1 In 0.500 0.500 0.748
2 In 0.500 0.500 0.252
3 Te 0.000 0.000 0.000
4 Mo 0.000 0.000 0.500
5 O 0.180 0.819 0.240
6 O 0.708 0.709 0.000
7 O 0.820 0.181 0.240
8 O 0.820 0.181 0.760
9 O 0.292 0.291 0.000
10 O 0.180 0.819 0.760
11 O 0.709 0.710 0.500
12 O 0.291 0.290 0.500

## Properties
Total energy: -72.3 eV per formula unit
Total moment: 0.0 Bohr magnetons per cell